## KTaCd2 (PBE)

Data for a relaxed KTaCd2 crystal.

Cell and atoms, written as CIF:
```
data_KTaCd2
_cell_length_a 3.1055
_cell_length_b 3.1055
_cell_length_c 33.6564
_cell_angle_alpha 90.00
_cell_angle_beta 90.00
_cell_angle_gamma 120.00
_symmetry_space_group_name_H-M 'R -3 m'
_symmetry_Int_Tables_number 166
_symmetry_space_group_name_Hall '-R 3 2"'
loop_
_atom_site_label
_atom_site_type_symbol
_atom_site_fract_x
_atom_site_fract_y
_atom_site_fract_z
_atom_site_occupancy
K1 K 0.0000 0.0000 0.0000 1
Ta1 Ta 0.0000 0.0000 0.5000 1
Cd1 Cd 0.0000 0.0000 0.2407 1
```

Computed properties:
Relative energy among the computed polymorphs, eV per atom: 0.0526
Calculated formation energy, eV/atom: 0.45
Total magnetization, μB/cell: 0.00
N(E_F), states/eV/atom: 0.7209

## Pm3CoCu (PBE)

Data for a relaxed Pm3CoCu crystal.

Cell and atoms, written as CIF:
```
data_Pm3CoCu
_cell_length_a 8.3214
_cell_length_b 3.8185
_cell_length_c 8.3239
_cell_angle_alpha 90.00
_cell_angle_beta 108.87
_cell_angle_gamma 90.00
_symmetry_space_group_name_H-M 'P 1 21/m 1'
_symmetry_Int_Tables_number 11
_symmetry_space_group_name_Hall '-P 2yb'
loop_
_atom_site_label
_atom_site_type_symbol
_atom_site_fract_x
_atom_site_fract_y
_atom_site_fract_z
_atom_site_occupancy
Pm1 Pm 0.0559 0.2500 0.2326 1
Pm2 Pm 0.3197 0.2500 0.9745 1
Pm3 Pm 0.3359 0.7500 0.6054 1
Co1 Co 0.0612 0.2500 0.5782 1
Cu1 Cu 0.3559 0.7500 0.2451 1
```

Computed properties:
Calculated formation energy, eV/atom: -0.09
Total magnetization, μB/cell: 0.19
N(E_F), states/eV/atom: 0.9224

## SmLu3O (PBE)

Data for a relaxed SmLu3O crystal.

Cell and atoms, written as CIF:
```
data_SmLu3O
_cell_length_a 4.8626
_cell_length_b 4.8626
_cell_length_c 4.8626
_cell_angle_alpha 90.00
_cell_angle_beta 90.00
_cell_angle_gamma 90.00
_symmetry_space_group_name_H-M 'P m -3 m'
_symmetry_Int_Tables_number 221
_symmetry_space_group_name_Hall '-P 4 2 3'
loop_
_atom_site_label
_atom_site_type_symbol
_atom_site_fract_x
_atom_site_fract_y
_atom_site_fract_z
_atom_site_occupancy
Sm1 Sm 0.0000 0.0000 0.0000 1
Lu1 Lu 0.0000 0.5000 0.5000 1
O1 O 0.5000 0.5000 0.5000 1
```

Computed properties:
Total magnetization, μB/cell: 0.00
Energy relative to the elements, uncorrected, eV per atom: -1.054
N(E_F), states/eV/atom: 1.3785

## HoMn4Sn6 (PBE)

Data for a relaxed HoMn4Sn6 crystal.

Cell and atoms, written as CIF:
```
data_HoMn4Sn6
_cell_length_a 9.6088
_cell_length_b 9.6107
_cell_length_c 9.6013
_cell_angle_alpha 90.00
_cell_angle_beta 90.00
_cell_angle_gamma 90.00
_symmetry_space_group_name_H-M 'F m m 2'
_symmetry_Int_Tables_number 42
_symmetry_space_group_name_Hall 'F 2 -2'
loop_
_atom_site_label
_atom_site_type_symbol
_atom_site_fract_x
_atom_site_fract_y
_atom_site_fract_z
_atom_site_occupancy
Ho1 Ho 0.0000 0.0000 0.0000 1
Mn1 Mn 0.0000 0.1577 0.5650 1
Mn2 Mn 0.1575 0.0000 0.4339 1
Sn1 Sn 0.0000 0.1833 0.2827 1
Sn2 Sn 0.1829 0.0000 0.7165 1
Sn3 Sn 0.2500 0.2500 0.9996 1
```

Computed properties:
Calculated formation energy, eV/atom: -0.07
Total magnetization, μB/cell: 21.42
N(E_F), states/eV/atom: 0.4996

## BeNiBr3 (PBE)

Data for a relaxed BeNiBr3 crystal.

Cell and atoms, written as CIF:
```
data_BeNiBr3
_cell_length_a 4.8300
_cell_length_b 4.8300
_cell_length_c 4.8300
_cell_angle_alpha 90.00
_cell_angle_beta 90.00
_cell_angle_gamma 90.00
_symmetry_space_group_name_H-M 'P m -3 m'
_symmetry_Int_Tables_number 221
_symmetry_space_group_name_Hall '-P 4 2 3'
loop_
_atom_site_label
_atom_site_type_symbol
_atom_site_fract_x
_atom_site_fract_y
_atom_site_fract_z
_atom_site_occupancy
Be1 Be 0.0000 0.0000 0.0000 1
Ni1 Ni 0.5000 0.5000 0.5000 1
Br1 Br 0.0000 0.0000 0.5000 1
```

Computed properties:
Total magnetization, μB/cell: 1.10
Energy relative to the elements, uncorrected, eV per atom: 0.245
N(E_F), states/eV/atom: 2.1205

## TlPtF2 (PBE)

Data for a relaxed TlPtF2 crystal.

Cell and atoms, written as CIF:
```
data_TlPtF2
_cell_length_a 3.6769
_cell_length_b 3.6769
_cell_length_c 21.4496
_cell_angle_alpha 90.00
_cell_angle_beta 90.00
_cell_angle_gamma 120.00
_symmetry_space_group_name_H-M 'R -3 m'
_symmetry_Int_Tables_number 166
_symmetry_space_group_name_Hall '-R 3 2"'
loop_
_atom_site_label
_atom_site_type_symbol
_atom_site_fract_x
_atom_site_fract_y
_atom_site_fract_z
_atom_site_occupancy
Tl1 Tl 0.0000 0.0000 0.0000 1
Pt1 Pt 0.0000 0.0000 0.5000 1
F1 F 0.0000 0.0000 0.1243 1
```

Computed properties:
Relative energy among the computed polymorphs, eV per atom: 0.4809
Total magnetization, μB/cell: 4.60
Energy relative to the elements, uncorrected, eV per atom: -0.485
N(E_F), states/eV/atom: 0.6711

## PrTm (PBE)

Data for a relaxed PrTm crystal.

Cell and atoms, written as CIF:
```
data_PrTm
_cell_length_a 4.0550
_cell_length_b 4.0550
_cell_length_c 4.0550
_cell_angle_alpha 90.00
_cell_angle_beta 90.00
_cell_angle_gamma 90.00
_symmetry_space_group_name_H-M 'P m -3 m'
_symmetry_Int_Tables_number 221
_symmetry_space_group_name_Hall '-P 4 2 3'
loop_
_atom_site_label
_atom_site_type_symbol
_atom_site_fract_x
_atom_site_fract_y
_atom_site_fract_z
_atom_site_occupancy
Pr1 Pr 0.0000 0.0000 0.0000 1
Tm1 Tm 0.5000 0.5000 0.5000 1
```

Computed properties:
Relative energy among the computed polymorphs, eV per atom: 0.0621
Calculated formation energy, eV/atom: 0.09
Total magnetization, μB/cell: 0.00
N(E_F), states/eV/atom: 1.7097

## TcNiS3 (PBE)

Data for a relaxed TcNiS3 crystal.

Cell and atoms, written as CIF:
```
data_TcNiS3
_cell_length_a 4.3991
_cell_length_b 4.3991
_cell_length_c 4.3991
_cell_angle_alpha 90.00
_cell_angle_beta 90.00
_cell_angle_gamma 90.00
_symmetry_space_group_name_H-M 'P m -3 m'
_symmetry_Int_Tables_number 221
_symmetry_space_group_name_Hall '-P 4 2 3'
loop_
_atom_site_label
_atom_site_type_symbol
_atom_site_fract_x
_atom_site_fract_y
_atom_site_fract_z
_atom_site_occupancy
Tc1 Tc 0.0000 0.0000 0.0000 1
Ni1 Ni 0.5000 0.5000 0.5000 1
S1 S 0.0000 0.5000 0.5000 1
```

Computed properties:
Relative energy among the computed polymorphs, eV per atom: 0.0527
Total magnetization, μB/cell: 3.26
Energy relative to the elements, uncorrected, eV per atom: 0.762
N(E_F), states/eV/atom: 0.8152

## FeSn2H (PBE)

Data for a relaxed FeSn2H crystal.

Cell and atoms, written as CIF:
```
data_FeSn2H
_cell_length_a 6.4256
_cell_length_b 6.4256
_cell_length_c 6.4256
_cell_angle_alpha 90.00
_cell_angle_beta 90.00
_cell_angle_gamma 90.00
_symmetry_space_group_name_H-M 'F m -3 m'
_symmetry_Int_Tables_number 225
_symmetry_space_group_name_Hall '-F 4 2 3'
loop_
_atom_site_label
_atom_site_type_symbol
_atom_site_fract_x
_atom_site_fract_y
_atom_site_fract_z
_atom_site_occupancy
Fe1 Fe 0.0000 0.0000 0.0000 1
Sn1 Sn 0.2500 0.2500 0.2500 1
H1 H 0.0000 0.0000 0.5000 1
```

Computed properties:
Relative energy among the computed polymorphs, eV per atom: 0.0000
Total magnetization, μB/cell: 10.28
N(E_F), states/eV/atom: 1.0118

## AcHoLu4 (PBE)

Data for a relaxed AcHoLu4 crystal.

Cell and atoms, written as CIF:
```
data_AcHoLu4
_cell_length_a 9.3320
_cell_length_b 9.3320
_cell_length_c 9.3320
_cell_angle_alpha 90.00
_cell_angle_beta 90.00
_cell_angle_gamma 90.00
_symmetry_space_group_name_H-M 'F -4 3 m'
_symmetry_Int_Tables_number 216
_symmetry_space_group_name_Hall 'F -4 2 3'
loop_
_atom_site_label
_atom_site_type_symbol
_atom_site_fract_x
_atom_site_fract_y
_atom_site_fract_z
_atom_site_occupancy
Ac1 Ac 0.0000 0.0000 0.0000 1
Ho1 Ho 0.2500 0.2500 0.7500 1
Lu1 Lu 0.1238 0.1238 0.3762 1
```

Computed properties:
Calculated formation energy, eV/atom: 0.28
Total magnetization, μB/cell: 7.69
N(E_F), states/eV/atom: 2.3306

Calculated density (computed, g/cm³): 7.88 7.40 9.98 8.22 4.53 8.68 7.72 4.93 7.37 8.92